No. 1
Density functional theory data (PBE-GGA) for Nd8Tl3Ru2 after structural relaxation.

abc: 5.387 9.758 9.952
angles: 119.36 114.17 90.00
Fractional positions:
Tl 0.000 0.745 0.000
Tl 0.500 0.000 0.000
Ru 0.049 0.760 0.520
Nd 0.279 0.594 0.714
Nd 0.721 0.879 0.286
Tl 0.000 0.255 0.000
Nd 0.279 0.121 0.714
Nd 0.778 0.859 0.717
Nd 0.721 0.406 0.286
Ru 0.951 0.240 0.480
Nd 0.235 0.642 0.285
Nd 0.765 0.358 0.715
Nd 0.222 0.141 0.283

Values from the calculation:
The density of states at the Fermi level comes out at 12.19 states/eV/f.u. Its formation energy is -0.191 eV per atom. The calculation puts the uncorrected energy at -66.3 eV/cell.

***

No. 2
Density functional theory data (PBE-GGA) for MnFeBr2 after structural relaxation.

abc: 3.666 3.666 6.995
angles: 90.07 90.00 90.00
Fractional positions:
Fe 0.000 0.375 0.625
Br 0.000 0.876 0.891
Br 0.500 0.374 0.359
Mn 0.500 0.875 0.625

Values from the calculation:
The density of states at the Fermi level comes out at 2.40 states/eV/f.u. The calculation puts the uncorrected energy at -21.2 eV/cell. The energy above the most stable polymorph in this dataset is 0.00 eV per formula unit. The value obtained for the formation energy (no corrections) is -0.05 eV per atom.

***

No. 3
Density functional theory data (PBE-GGA) for Ac2In2Pd after structural relaxation.

abc: 4.710 6.338 11.283
angles: 90.86 77.95 68.19
Fractional positions:
Ac 0.340 0.653 0.667
In 0.124 0.201 0.552
Ac 0.064 0.750 0.123
Pd 0.617 0.090 0.677
Ac 0.660 0.347 0.333
Ac 0.936 0.250 0.877
In 0.357 0.172 0.114
In 0.643 0.828 0.886
In 0.876 0.799 0.448
Pd 0.383 0.910 0.323

Values from the calculation:
The density of states at the Fermi level comes out at 4.41 states/eV/f.u. Its formation energy is -0.576 eV per atom. The calculation puts the uncorrected energy at -43.5 eV/cell.

***

No. 4
Density functional theory data (PBE-GGA) for MgTe2S after structural relaxation.

abc: 8.281 8.281 8.281
angles: 31.11 31.11 31.11
Fractional positions:
Te 0.894 0.894 0.894
Te 0.106 0.106 0.106
S 0.000 0.000 0.000
Mg 0.500 0.500 0.500

Values from the calculation:
The density of states at the Fermi level comes out at 3.24 states/eV/f.u. The calculation puts the uncorrected energy at -12.1 eV/cell. The energy above the most stable polymorph in this dataset is 0.00 eV per formula unit. The value obtained for the formation energy (no corrections) is -0.03 eV per atom.

***

No. 5
Density functional theory data (PBE-GGA) for MnAgSe2 after structural relaxation.

abc: 7.606 7.606 7.606
angles: 152.08 152.08 39.90
Fractional positions:
Mn 0.750 0.250 0.500
Se 0.000 0.000 0.000
Ag 0.500 0.500 0.000
Se 0.250 0.750 0.500

Values from the calculation:
The density of states at the Fermi level comes out at 2.00 states/eV/f.u. The calculation puts the uncorrected energy at -18.9 eV/cell. The value obtained for the formation energy (no corrections) is 0.03 eV per atom.

***

No. 6
Density functional theory data (PBE-GGA) for PuFe2Co after structural relaxation.

abc: 3.790 3.815 3.815
angles: 90.00 90.00 90.00
Fractional positions:
Pu 0.500 0.000 0.000
Fe 0.000 0.000 0.500
Fe 0.000 0.500 0.000
Co 0.500 0.500 0.500

Values from the calculation:
The density of states at the Fermi level comes out at 6.10 states/eV/f.u. Its formation energy is 0.002 eV per atom. The calculation puts the uncorrected energy at -38.4 eV/cell.

***

No. 7
Density functional theory data (PBE-GGA) for Ca2GaGe3Ir4 after structural relaxation.

abc: 4.215 4.215 10.371
angles: 90.00 90.00 90.00
Fractional positions:
Ge 0.000 0.000 0.500
Ir 0.000 0.500 0.367
Ge 0.000 0.500 0.129
Ga 0.500 0.500 0.500
Ge 0.500 0.000 0.871
Ir 0.500 0.500 0.000
Ca 0.500 0.000 0.247
Ca 0.000 0.500 0.753
Ir 0.500 0.000 0.633
Ir 0.000 0.000 0.000

Values from the calculation:
The density of states at the Fermi level comes out at 3.45 states/eV/f.u. Its formation energy is -0.648 eV per atom. The calculation puts the uncorrected energy at -62.8 eV/cell.

***

No. 8
Density functional theory data (PBE-GGA) for La2AgRh after structural relaxation.

abc: 4.284 4.284 7.307
angles: 90.00 90.00 60.00
Fractional positions:
Ag 0.000 0.000 0.500
La 0.333 0.333 0.789
La 0.667 0.667 0.211
Rh 0.000 0.000 0.000

Values from the calculation:
The density of states at the Fermi level comes out at 3.11 states/eV/f.u. Its formation energy is -0.463 eV per atom. The calculation puts the uncorrected energy at -21.9 eV/cell.

***

No. 9
Density functional theory data (PBE-GGA) for Cs4RbI2 after structural relaxation.

abc: 8.010 8.010 12.038
angles: 70.57 70.57 90.00
Fractional positions:
I 0.404 0.404 0.193
Rb 0.000 0.000 0.000
Cs 0.766 0.766 0.468
Cs 0.000 0.500 0.000
I 0.596 0.596 0.807
Cs 0.234 0.234 0.532
Cs 0.500 0.000 0.000

Values from the calculation:
The density of states at the Fermi level comes out at 3.57 states/eV/f.u. The calculation puts the uncorrected energy at -11.5 eV/cell. The value obtained for the formation energy (no corrections) is -0.57 eV per atom.

***

No. 10
Density functional theory data (PBE-GGA) for Ac8Nd4Sm after structural relaxation.

abc: 5.515 17.656 6.689
angles: 64.00 65.65 81.01
Fractional positions:
Nd 0.897 0.827 0.380
Ac 0.053 0.365 0.529
Nd 0.126 0.132 0.617
Nd 0.663 0.517 0.158
Nd 0.360 0.442 0.838
Ac 0.820 0.054 0.306
Ac 0.745 0.289 0.221
Ac 0.203 0.905 0.690
Ac 0.435 0.207 0.922
Ac 0.587 0.751 0.075
Ac 0.277 0.669 0.776
Sm 0.511 0.979 0.998
Ac 0.969 0.594 0.468

Values from the calculation:
The density of states at the Fermi level comes out at 23.29 states/eV/f.u. Its formation energy is 0.035 eV per atom. The calculation puts the uncorrected energy at -56.2 eV/cell.

***

No. 11
Density functional theory data (PBE-GGA) for Mo2Se after structural relaxation.

abc: 4.605 4.605 4.605
angles: 141.22 126.09 68.37
Fractional positions:
Mo 0.330 0.330 0.000
Mo 0.670 0.670 0.000
Se 0.000 0.000 0.000

Values from the calculation:
The density of states at the Fermi level comes out at 1.77 states/eV/f.u. The calculation puts the uncorrected energy at -24.3 eV/cell. The energy above the most stable polymorph in this dataset is 1.15 eV per formula unit. The value obtained for the formation energy (no corrections) is 0.29 eV per atom.

***

No. 12
Density functional theory data (PBE-GGA) for ZrZnPb3 after structural relaxation.

abc: 5.689 5.689 5.689
angles: 90.00 90.00 90.00
Fractional positions:
Zn 0.500 0.500 0.500
Pb 0.000 0.500 0.000
Zr 0.000 0.000 0.000
Pb 0.500 0.000 0.000
Pb 0.000 0.000 0.500

Values from the calculation:
The density of states at the Fermi level comes out at 2.40 states/eV/f.u. Its formation energy is 0.450 eV per atom. The calculation puts the uncorrected energy at -18.7 eV/cell. The energy above the most stable polymorph in this dataset is 0.00 eV per formula unit.

***

No. 13
Density functional theory data (PBE-GGA) for RuPbCl2 after structural relaxation.

abc: 3.501 3.501 9.193
angles: 90.00 90.00 124.42
Fractional positions:
Cl 0.000 0.000 0.941
Pb 0.500 0.500 0.250
Cl 0.000 0.000 0.559
Ru 0.500 0.500 0.750

Values from the calculation:
The density of states at the Fermi level comes out at 3.09 states/eV/f.u. The calculation puts the uncorrected energy at -16.3 eV/cell. The energy above the most stable polymorph in this dataset is 1.12 eV per formula unit. The value obtained for the formation energy (no corrections) is 0.08 eV per atom.